Run P
# RbCu4Cl8

An optimized crystal structure of RbCu4Cl8 (PBE, Alexandria).

Computed properties:
density of states at the Fermi level: 12.6 states/eV/f.u.
space group: P-31m (162)
M_tot: 2.88 μB/f.u.

Geometry as POSCAR:
```
RbCu4Cl8
1.0
-0.867 5.669 3.048
-1.982 -5.522 2.787
8.465 -0.940 4.156
Cl Cu Rb
8 4 1
direct
0.000 0.669 0.308
0.331 0.331 0.308
0.331 0.000 0.692
0.669 0.000 0.308
0.667 0.333 0.000
0.000 0.331 0.692
0.333 0.667 0.000
0.669 0.669 0.692
0.667 0.333 0.755
0.667 0.333 0.245
0.333 0.667 0.755
0.333 0.667 0.245
0.000 0.000 0.000
```

=====

Run Q
# RbCu4Cl8

An optimized crystal structure of RbCu4Cl8 (PBE, Alexandria).

Computed properties:
density of states at the Fermi level: 19.6 states/eV/f.u.
space group: R-3m (166)
M_tot: 3.06 μB/f.u.

Geometry as POSCAR:
```
RbCu4Cl8
1.0
7.177 0.000 0.000
3.589 6.216 0.000
3.589 2.072 7.943
Cu Cl Rb
4 8 1
direct
0.500 0.500 0.000
0.000 0.000 0.000
0.000 0.500 0.000
0.500 0.000 0.000
0.222 0.222 0.829
0.778 0.778 0.171
0.778 0.273 0.171
0.727 0.222 0.829
0.273 0.778 0.171
0.222 0.727 0.829
0.279 0.279 0.162
0.721 0.721 0.838
0.500 0.500 0.500
```

=====

Stability, highest: run P

=====

Run P
# RbCu2Cl4

An optimized crystal structure of RbCu2Cl4 (PBE, Alexandria).

Computed properties:
density of states at the Fermi level: 10.0 states/eV/f.u.
space group: I4/m (87)
M_tot: 1.07 μB/f.u.

Geometry as POSCAR:
```
RbCu2Cl4
1.0
5.313 0.000 2.497
2.656 5.786 1.249
0.195 0.000 6.485
Rb Cu Cl
1 2 4
direct
0.000 0.000 0.000
0.250 0.500 0.500
0.750 0.500 0.500
0.180 0.197 0.443
0.623 0.557 0.197
0.820 0.803 0.557
0.377 0.443 0.803
```

=====

Run Q
# RbCu2Cl4

An optimized crystal structure of RbCu2Cl4 (PBE, Alexandria).

Computed properties:
density of states at the Fermi level: 4.5 states/eV/f.u.
space group: P1 (1)
M_tot: 1.02 μB/f.u.

Geometry as POSCAR:
```
RbCu2Cl4
1.0
6.846 -0.646 -0.070
-1.137 6.781 0.057
-2.784 -3.129 9.181
Rb Cu Cl
2 4 8
direct
0.254 0.755 0.500
0.003 0.005 0.000
0.633 0.367 0.253
0.631 0.865 0.247
0.116 0.382 0.747
0.618 0.383 0.752
0.381 0.525 0.224
0.775 0.131 0.723
0.302 0.158 0.777
0.464 0.639 0.787
0.927 0.601 0.713
0.850 0.675 0.212
0.889 0.214 0.288
0.407 0.050 0.276
```

=====

Stability, highest: run P

=====

Run P
# Rb2Cu2Cl

An optimized crystal structure of Rb2Cu2Cl (PBE, Alexandria).

Computed properties:
density of states at the Fermi level: 3.3 states/eV/f.u.
space group: P4/mbm (127)
M_tot: 0.00 μB/f.u.

Geometry as POSCAR:
```
Rb2Cu2Cl
1.0
-2.228 0.368 -8.699
-1.897 -8.784 0.114
-4.594 1.008 1.219
Rb Cu Cl
4 4 2
direct
0.697 0.197 0.000
0.303 0.803 0.000
0.803 0.697 0.000
0.197 0.303 0.000
0.409 0.091 0.500
0.591 0.909 0.500
0.091 0.591 0.500
0.909 0.409 0.500
0.000 0.000 0.000
0.500 0.500 0.000
```

=====

Run Q
# Rb2Cu2Cl

An optimized crystal structure of Rb2Cu2Cl (PBE, Alexandria).

Computed properties:
density of states at the Fermi level: 1.4 states/eV/f.u.
space group: I4/mmm (139)
M_tot: 0.00 μB/f.u.

Geometry as POSCAR:
```
Rb2Cu2Cl
1.0
3.652 0.000 0.000
0.000 3.652 0.000
1.826 1.826 10.039
Cu Rb Cl
2 2 1
direct
0.750 0.250 0.500
0.250 0.750 0.500
0.397 0.397 0.205
0.603 0.603 0.795
0.000 0.000 0.000
```

=====

Stability, highest: run Q

=====

Run P
# Rb2CuCl3

An optimized crystal structure of Rb2CuCl3 (PBE, Alexandria).

Computed properties:
density of states at the Fermi level: 0.0 states/eV/f.u.
space group: Pnma (62)
M_tot: 0.11 μB/f.u.

Geometry as POSCAR:
```
Rb2CuCl3
1.0
-3.377 -2.602 -0.387
4.879 -7.665 8.961
-6.294 6.796 9.240
Cl Rb Cu
12 8 4
direct
0.750 0.567 0.140
0.250 0.140 0.947
0.250 0.271 0.224
0.250 0.640 0.553
0.750 0.729 0.776
0.750 0.229 0.724
0.250 0.433 0.860
0.250 0.933 0.640
0.750 0.860 0.053
0.750 0.360 0.447
0.250 0.771 0.276
0.750 0.067 0.360
0.250 0.012 0.174
0.750 0.988 0.826
0.250 0.173 0.526
0.750 0.827 0.474
0.250 0.512 0.326
0.750 0.488 0.674
0.250 0.673 0.974
0.750 0.327 0.026
0.250 0.256 0.809
0.750 0.744 0.191
0.750 0.244 0.309
0.250 0.756 0.691
```

=====

Run Q
# Rb2CuCl3

An optimized crystal structure of Rb2CuCl3 (PBE, Alexandria).

Computed properties:
density of states at the Fermi level: 0.0 states/eV/f.u.
space group: Pnma (62)
M_tot: 0.11 μB/f.u.

Geometry as POSCAR:
```
Rb2CuCl3
1.0
4.336 0.000 0.000
0.000 9.393 0.000
0.000 0.000 17.735
Rb Cl Cu
8 12 4
direct
0.250 0.413 0.211
0.250 0.736 0.549
0.250 0.236 0.951
0.750 0.764 0.049
0.750 0.264 0.451
0.750 0.587 0.789
0.250 0.913 0.289
0.750 0.087 0.711
0.250 0.328 0.768
0.750 0.854 0.429
0.250 0.026 0.108
0.250 0.526 0.392
0.750 0.672 0.232
0.750 0.474 0.608
0.750 0.974 0.892
0.750 0.354 0.071
0.250 0.828 0.732
0.250 0.646 0.929
0.250 0.146 0.571
0.750 0.172 0.268
0.750 0.640 0.364
0.750 0.140 0.136
0.250 0.360 0.636
0.250 0.860 0.864
```

=====

Stability, highest: run P

=====

Run P
# Rb2CuCl5

An optimized crystal structure of Rb2CuCl5 (PBE, Alexandria).

Computed properties:
density of states at the Fermi level: 3.3 states/eV/f.u.
space group: P4/mmm (123)
M_tot: 0.91 μB/f.u.

Geometry as POSCAR:
```
Rb2CuCl5
1.0
4.971 0.000 0.000
0.000 6.997 0.000
0.000 0.000 6.997
Cl Rb Cu
5 2 1
direct
0.500 0.000 0.000
0.000 0.766 0.766
0.000 0.766 0.234
0.000 0.234 0.766
0.000 0.234 0.234
0.500 0.500 0.000
0.500 0.000 0.500
0.000 0.000 0.000
```

=====

Run Q
# Rb2CuCl5

An optimized crystal structure of Rb2CuCl5 (PBE, Alexandria).

Computed properties:
density of states at the Fermi level: 0.1 states/eV/f.u.
space group: I4mm (107)
M_tot: 0.00 μB/f.u.

Geometry as POSCAR:
```
Rb2CuCl5
1.0
6.920 0.149 0.213
-3.277 6.097 -0.213
-3.277 -2.274 5.661
Cl Rb Cu
5 2 1
direct
0.566 0.767 0.767
0.000 0.767 0.201
0.000 0.293 0.293
0.000 0.201 0.767
0.434 0.201 0.201
0.500 0.239 0.739
0.500 0.739 0.239
0.000 0.014 0.014
```

=====

Stability, highest: run Q

=====

Run P
# Rb3Cu2Cl7

An optimized crystal structure of Rb3Cu2Cl7 (PBE, Alexandria).

Computed properties:
density of states at the Fermi level: 3.4 states/eV/f.u.
space group: Cmmm (65)
M_tot: 0.00 μB/f.u.

Geometry as POSCAR:
```
Rb3Cu2Cl7
1.0
-3.669 0.073 -3.173
-3.243 -1.014 3.727
0.084 13.029 0.204
Cl Rb Cu
7 3 2
direct
0.000 0.811 0.622
0.000 0.000 0.000
0.000 0.593 0.185
0.500 0.907 0.814
0.000 0.407 0.815
0.000 0.189 0.378
0.500 0.093 0.186
0.500 0.500 0.000
0.500 0.681 0.361
0.500 0.319 0.639
0.000 0.095 0.191
0.000 0.905 0.809
```

=====

Run Q
# Rb3Cu2Cl7

An optimized crystal structure of Rb3Cu2Cl7 (PBE, Alexandria).

Computed properties:
density of states at the Fermi level: 1.0 states/eV/f.u.
space group: Ccce (68)
M_tot: 0.00 μB/f.u.

Geometry as POSCAR:
```
Rb3Cu2Cl7
1.0
13.077 0.010 0.000
-11.016 7.047 0.000
0.000 0.000 7.349
Rb Cu Cl
6 4 14
direct
0.821 0.179 0.500
0.179 0.821 0.500
0.321 0.679 0.000
0.679 0.321 0.000
0.500 0.500 0.000
0.000 0.000 0.500
0.595 0.405 0.500
0.095 0.905 0.000
0.905 0.095 0.000
0.405 0.595 0.500
0.377 0.193 0.285
0.689 0.311 0.500
0.811 0.189 0.000
0.307 0.123 0.785
0.000 0.000 0.000
0.693 0.877 0.785
0.877 0.693 0.215
0.193 0.377 0.715
0.123 0.307 0.215
0.807 0.623 0.715
0.500 0.500 0.500
0.311 0.689 0.500
0.623 0.807 0.285
0.189 0.811 0.000
```

=====

Stability, highest: run Q

=====

Run P
# CuReCl2

An optimized crystal structure of CuReCl2 (PBE, Alexandria).

Computed properties:
density of states at the Fermi level: 3.9 states/eV/f.u.
space group: Imm2 (44)
M_tot: 0.01 μB/f.u.

Geometry as POSCAR:
```
CuReCl2
1.0
6.456 0.070 -0.002
4.266 4.846 0.002
-4.913 -3.435 2.397
Re Cu Cl
1 1 2
direct
0.243 0.743 0.500
0.426 0.426 0.000
0.761 0.261 0.500
0.071 0.071 0.000
```

=====

Run Q
# CuReCl2

An optimized crystal structure of CuReCl2 (PBE, Alexandria).

Computed properties:
density of states at the Fermi level: 3.4 states/eV/f.u.
space group: Cmm2 (35)
M_tot: 0.62 μB/f.u.

Geometry as POSCAR:
```
CuReCl2
1.0
3.065 0.000 0.000
-1.610 2.608 0.000
0.000 0.000 9.270
Cu Cl Re
1 2 1
direct
0.000 0.000 0.507
0.000 0.000 0.937
0.500 0.500 0.323
0.500 0.500 0.733
```

=====

Run R
# CuReCl2

An optimized crystal structure of CuReCl2 (PBE, Alexandria).

Computed properties:
density of states at the Fermi level: 2.4 states/eV/f.u.
space group: F-43m (216)
M_tot: 4.10 μB/f.u.

Geometry as POSCAR:
```
CuReCl2
1.0
-4.018 -0.471 -2.318
0.040 -0.974 -4.559
-1.348 -4.204 -1.497
Cl Re Cu
2 1 1
direct
0.750 0.750 0.750
0.000 0.000 0.000
0.250 0.250 0.250
0.500 0.500 0.500
```

=====

Stability, highest: run Q

=====

Run P
# CuReCl2

An optimized crystal structure of CuReCl2 (PBE, Alexandria).

Computed properties:
density of states at the Fermi level: 2.2 states/eV/f.u.
space group: Fm-3m (225)
M_tot: 0.00 μB/f.u.

Geometry as POSCAR:
```
CuReCl2
1.0
1.875 1.570 3.644
-2.404 2.224 2.921
-0.932 -1.794 3.895
Cl Re Cu
2 1 1
direct
0.250 0.250 0.250
0.750 0.750 0.750
0.500 0.500 0.500
0.000 0.000 0.000
```

=====

Run Q
# CuReCl2

An optimized crystal structure of CuReCl2 (PBE, Alexandria).

Computed properties:
density of states at the Fermi level: 4.0 states/eV/f.u.
space group: Pmmm (47)
M_tot: 0.97 μB/f.u.

Geometry as POSCAR:
```
CuReCl2
1.0
-2.047 2.059 0.420
-1.797 -2.240 2.224
3.066 2.109 4.601
Cu Cl Re
1 2 1
direct
0.500 0.500 0.250
0.000 0.000 0.514
0.000 0.000 0.986
0.500 0.500 0.750
```

=====

Run R
# CuReCl2

An optimized crystal structure of CuReCl2 (PBE, Alexandria).

Computed properties:
density of states at the Fermi level: 1.8 states/eV/f.u.
space group: P4mm (99)
M_tot: 0.00 μB/f.u.

Geometry as POSCAR:
```
CuReCl2
1.0
-0.910 0.572 -2.773
2.173 -1.727 -1.069
-4.777 -6.192 0.291
Cu Cl Re
1 2 1
direct
0.000 0.000 0.515
0.000 0.000 0.919
0.500 0.500 0.329
0.500 0.500 0.737
```

=====

Run S
# CuReCl2

An optimized crystal structure of CuReCl2 (PBE, Alexandria).

Computed properties:
density of states at the Fermi level: 1.2 states/eV/f.u.
space group: I-42d (122)
M_tot: 0.00 μB/f.u.

Geometry as POSCAR:
```
CuReCl2
1.0
-0.970 -5.226 -1.866
-0.237 -1.853 5.314
-5.323 -2.694 1.808
Cu Cl Re
2 4 2
direct
0.500 0.500 0.000
0.250 0.750 0.500
0.875 0.870 0.750
0.620 0.125 0.250
0.375 0.380 0.750
0.130 0.625 0.250
0.750 0.250 0.500
0.000 0.000 0.000
```

=====

Stability, highest: run R

=====

Run P
# CuReCl2

An optimized crystal structure of CuReCl2 (PBE, Alexandria).

Computed properties:
density of states at the Fermi level: 1.7 states/eV/f.u.
space group: P2/m (10)
M_tot: 0.00 μB/f.u.

Geometry as POSCAR:
```
CuReCl2
1.0
4.061 0.000 0.000
0.000 2.858 -0.017
0.000 -1.438 5.613
Cl Cu Re
2 1 1
direct
0.000 0.859 0.996
0.000 0.641 0.504
0.500 0.250 0.250
0.500 0.750 0.750
```

=====

Run Q
# CuReCl2

An optimized crystal structure of CuReCl2 (PBE, Alexandria).

Computed properties:
density of states at the Fermi level: 3.0 states/eV/f.u.
space group: C2/m (12)
M_tot: 0.00 μB/f.u.

Geometry as POSCAR:
```
CuReCl2
1.0
-5.787 1.263 -2.768
2.406 -4.796 1.968
-0.064 -0.582 2.799
Re Cu Cl
1 1 2
direct
0.500 0.500 0.000
0.000 0.500 0.500
0.000 0.000 0.000
0.500 0.000 0.500
```

=====

Stability, highest: run P

=====

Run P
# CuRe3Cl

An optimized crystal structure of CuRe3Cl (PBE, Alexandria).

Computed properties:
density of states at the Fermi level: 6.1 states/eV/f.u.
space group: Pm-3m (221)
M_tot: 0.00 μB/f.u.

Geometry as POSCAR:
```
CuRe3Cl
1.0
4.325 0.000 0.000
0.000 4.325 0.000
0.000 0.000 4.325
Cl Re Cu
1 3 1
direct
0.000 0.000 0.000
0.000 0.500 0.000
0.000 0.000 0.500
0.500 0.000 0.000
0.500 0.500 0.500
```

=====

Run Q
# CuRe3Cl

An optimized crystal structure of CuRe3Cl (PBE, Alexandria).

Computed properties:
density of states at the Fermi level: 7.8 states/eV/f.u.
space group: Pm-3m (221)
M_tot: 4.79 μB/f.u.

Geometry as POSCAR:
```
CuRe3Cl
1.0
-2.841 -3.563 -0.569
1.187 -1.607 4.135
-3.407 2.410 1.915
Cl Re Cu
1 3 1
direct
0.500 0.500 0.500
0.000 0.500 0.000
0.000 0.000 0.500
0.500 0.000 0.000
0.000 0.000 0.000
```

=====

Stability, highest: run P